A relaxed structure of ZrFe2F8. Source: Alexandria via LeMat-Bulk, functional PBE+U.

Output
- energy above the lowest structure with this stoichiometry (meV/atom) = 216
- space-group type = C2/m
- mass density (g/cm³) = 4.67
- final energy (eV/cell) = -65.0
- magnetic moment (μB per formula unit) = 8.0

Cell lengths 4.5196, 5.5753, 5.5753 Å; angles 114.74, 94.57, 94.57 degrees
Element x y z (fractional)
Zr 0.5000 0.0000 0.0000
F 0.8688 0.6713 0.9296
F 0.3092 0.6669 0.6669
F 0.1312 0.3287 0.0704
F 0.5000 0.7816 0.2184
F 0.8688 0.9296 0.6713
F 0.5000 0.2184 0.7816
F 0.1312 0.0704 0.3287
F 0.6908 0.3331 0.3331
Fe 0.0000 0.3172 0.6828
Fe 0.0000 0.6828 0.3172